# 1
# PBE Mg2ZrP2, relaxed
# Total magnetization ... 0.00 Bohr magnetons per cell
# N(E_F) ... 4.58 states/eV/cell
# E_form ... -0.06 eV per atom
# Electronic total energy ... -4.573 eV/atom
data_Mg2ZrP2
_chemical_formula_sum 'Mg4 Zr2 P4'
_cell_length_a 4.792
_cell_length_b 4.792
_cell_length_c 8.432
_cell_angle_alpha 90.00
_cell_angle_beta 90.00
_cell_angle_gamma 90.00
_symmetry_space_group_name_H-M 'I 4/m m m'
_symmetry_Int_Tables_number 139
_symmetry_space_group_name_Hall '-I 4 2'
loop_
_atom_site_label
_atom_site_type_symbol
_atom_site_fract_x
_atom_site_fract_y
_atom_site_fract_z
Mg1 Mg 0.000 0.000 0.158
Zr1 Zr 0.000 0.000 0.500
P1 P 0.000 0.500 0.250

---

# 2
# PBE TaCuNi2Ru, relaxed
# Total magnetization ... 0.00 Bohr magnetons per cell
# N(E_F) ... 2.26 states/eV/cell
# E_form ... 1.01 eV per atom
# Electronic total energy ... -6.349 eV/atom
data_TaCuNi2Ru
_chemical_formula_sum 'Ta1 Cu1 Ni2 Ru1'
_cell_length_a 4.143
_cell_length_b 4.143
_cell_length_c 4.482
_cell_angle_alpha 90.00
_cell_angle_beta 90.00
_cell_angle_gamma 90.00
_symmetry_space_group_name_H-M 'P 4/m m m'
_symmetry_Int_Tables_number 123
_symmetry_space_group_name_Hall '-P 4 2'
loop_
_atom_site_label
_atom_site_type_symbol
_atom_site_fract_x
_atom_site_fract_y
_atom_site_fract_z
Ta1 Ta 0.000 0.000 0.000
Cu1 Cu 0.500 0.500 0.500
Ni1 Ni 0.000 0.500 0.500
Ru1 Ru 0.500 0.500 0.000

---

# 3
# PBE NdGa3IrRh, relaxed
# Total magnetization ... 0.00 Bohr magnetons per cell
# N(E_F) ... 16.64 states/eV/cell
# E_form ... -0.47 eV per atom
# Electronic total energy ... -5.479 eV/atom
data_NdGa3IrRh
_chemical_formula_sum 'Nd4 Ga12 Ir4 Rh4'
_cell_length_a 7.923
_cell_length_b 10.933
_cell_length_c 5.854
_cell_angle_alpha 90.00
_cell_angle_beta 90.00
_cell_angle_gamma 90.00
_symmetry_space_group_name_H-M 'C m c m'
_symmetry_Int_Tables_number 63
_symmetry_space_group_name_Hall '-C 2c 2'
loop_
_atom_site_label
_atom_site_type_symbol
_atom_site_fract_x
_atom_site_fract_y
_atom_site_fract_z
Nd1 Nd 0.000 0.245 0.250
Ga1 Ga 0.000 0.255 0.750
Ga2 Ga 0.246 0.000 0.000
Ir1 Ir 0.000 0.470 0.750
Rh1 Rh 0.000 0.042 0.750

---

# 4
# PBE Co2CuNi, relaxed
# Total magnetization ... 4.01 Bohr magnetons per cell
# N(E_F) ... 5.08 states/eV/cell
# E_form ... 0.10 eV per atom
# Electronic total energy ... -5.927 eV/atom
data_Co2CuNi
_chemical_formula_sum 'Co2 Cu1 Ni1'
_cell_length_a 2.471
_cell_length_b 3.654
_cell_length_c 4.950
_cell_angle_alpha 90.00
_cell_angle_beta 90.09
_cell_angle_gamma 90.00
_symmetry_space_group_name_H-M 'P 1 2/m 1'
_symmetry_Int_Tables_number 10
loop_
_symmetry_equiv_pos_as_xyz
'x,y,z'
'-x,-y,-z'
'-x,y,-z'
'x,-y,z'
loop_
_atom_site_label
_atom_site_type_symbol
_atom_site_fract_x
_atom_site_fract_y
_atom_site_fract_z
Co1 Co 0.001 0.000 0.245
Cu1 Cu 0.500 0.500 0.500
Ni1 Ni 0.500 0.500 0.000

---

# 5
# PBE SnBiOF2, relaxed
# Total magnetization ... 0.00 Bohr magnetons per cell
# Formation energy without anion corrections ... -1.2422 eV per atom
# N(E_F) ... 2.79 states/eV/cell
# Electronic total energy ... -4.559 eV/atom
data_SnBiOF2
_chemical_formula_sum 'Sn1 Bi1 O1 F2'
_cell_length_a 4.641
_cell_length_b 4.641
_cell_length_c 4.573
_cell_angle_alpha 90.00
_cell_angle_beta 90.00
_cell_angle_gamma 90.00
_symmetry_space_group_name_H-M 'P 4/m m m'
_symmetry_Int_Tables_number 123
_symmetry_space_group_name_Hall '-P 4 2'
loop_
_atom_site_label
_atom_site_type_symbol
_atom_site_fract_x
_atom_site_fract_y
_atom_site_fract_z
Sn1 Sn 0.000 0.000 0.000
Bi1 Bi 0.500 0.500 0.500
O1 O 0.500 0.500 0.000
F1 F 0.000 0.500 0.500

---

# 6
# PBE NdPaC, relaxed
# Total magnetization ... 0.00 Bohr magnetons per cell
# N(E_F) ... 12.93 states/eV/cell
# E_form ... 0.44 eV per atom
# Electronic total energy ... -7.387 eV/atom
data_NdPaC
_chemical_formula_sum 'Nd4 Pa4 C4'
_cell_length_a 6.204
_cell_length_b 6.204
_cell_length_c 6.204
_cell_angle_alpha 90.00
_cell_angle_beta 90.00
_cell_angle_gamma 90.00
_symmetry_space_group_name_H-M 'F -4 3 m'
_symmetry_Int_Tables_number 216
_symmetry_space_group_name_Hall 'F -4 2 3'
loop_
_atom_site_label
_atom_site_type_symbol
_atom_site_fract_x
_atom_site_fract_y
_atom_site_fract_z
Nd1 Nd 0.000 0.000 0.000
Pa1 Pa 0.000 0.000 0.500
C1 C 0.250 0.250 0.250

---

# 7
# PBE HoZn5Ag2, relaxed
# Total magnetization ... 0.00 Bohr magnetons per cell
# N(E_F) ... 7.56 states/eV/cell
# E_form ... -0.14 eV per atom
# Electronic total energy ... -2.218 eV/atom
data_HoZn5Ag2
_chemical_formula_sum 'Ho2 Zn10 Ag4'
_cell_length_a 3.555
_cell_length_b 7.610
_cell_length_c 10.719
_cell_angle_alpha 90.00
_cell_angle_beta 90.00
_cell_angle_gamma 90.00
_symmetry_space_group_name_H-M 'I m m m'
_symmetry_Int_Tables_number 71
_symmetry_space_group_name_Hall '-I 2 2'
loop_
_atom_site_label
_atom_site_type_symbol
_atom_site_fract_x
_atom_site_fract_y
_atom_site_fract_z
Ho1 Ho 0.000 0.000 0.000
Zn1 Zn 0.000 0.202 0.376
Zn2 Zn 0.000 0.500 0.000
Ag1 Ag 0.000 0.500 0.255

---

# 8
# PBE ZnCd2P, relaxed
# Total magnetization ... 0.00 Bohr magnetons per cell
# N(E_F) ... 2.16 states/eV/cell
# E_form ... 0.30 eV per atom
# Electronic total energy ... -1.832 eV/atom
data_ZnCd2P
_chemical_formula_sum 'Zn1 Cd2 P1'
_cell_length_a 3.033
_cell_length_b 3.033
_cell_length_c 8.445
_cell_angle_alpha 90.00
_cell_angle_beta 90.00
_cell_angle_gamma 90.00
_symmetry_space_group_name_H-M 'P 4/m m m'
_symmetry_Int_Tables_number 123
_symmetry_space_group_name_Hall '-P 4 2'
loop_
_atom_site_label
_atom_site_type_symbol
_atom_site_fract_x
_atom_site_fract_y
_atom_site_fract_z
Zn1 Zn 0.000 0.000 0.000
Cd1 Cd 0.500 0.500 0.248
P1 P 0.000 0.000 0.500

---

Repeat the second record exactly.
# PBE TaCuNi2Ru, relaxed
# Total magnetization ... 0.00 Bohr magnetons per cell
# N(E_F) ... 2.26 states/eV/cell
# E_form ... 1.01 eV per atom
# Electronic total energy ... -6.349 eV/atom
data_TaCuNi2Ru
_chemical_formula_sum 'Ta1 Cu1 Ni2 Ru1'
_cell_length_a 4.143
_cell_length_b 4.143
_cell_length_c 4.482
_cell_angle_alpha 90.00
_cell_angle_beta 90.00
_cell_angle_gamma 90.00
_symmetry_space_group_name_H-M 'P 4/m m m'
_symmetry_Int_Tables_number 123
_symmetry_space_group_name_Hall '-P 4 2'
loop_
_atom_site_label
_atom_site_type_symbol
_atom_site_fract_x
_atom_site_fract_y
_atom_site_fract_z
Ta1 Ta 0.000 0.000 0.000
Cu1 Cu 0.500 0.500 0.500
Ni1 Ni 0.000 0.500 0.500
Ru1 Ru 0.500 0.500 0.000

---

Please write out number 3 again, unchanged.
# PBE NdGa3IrRh, relaxed
# Total magnetization ... 0.00 Bohr magnetons per cell
# N(E_F) ... 16.64 states/eV/cell
# E_form ... -0.47 eV per atom
# Electronic total energy ... -5.479 eV/atom
data_NdGa3IrRh
_chemical_formula_sum 'Nd4 Ga12 Ir4 Rh4'
_cell_length_a 7.923
_cell_length_b 10.933
_cell_length_c 5.854
_cell_angle_alpha 90.00
_cell_angle_beta 90.00
_cell_angle_gamma 90.00
_symmetry_space_group_name_H-M 'C m c m'
_symmetry_Int_Tables_number 63
_symmetry_space_group_name_Hall '-C 2c 2'
loop_
_atom_site_label
_atom_site_type_symbol
_atom_site_fract_x
_atom_site_fract_y
_atom_site_fract_z
Nd1 Nd 0.000 0.245 0.250
Ga1 Ga 0.000 0.255 0.750
Ga2 Ga 0.246 0.000 0.000
Ir1 Ir 0.000 0.470 0.750
Rh1 Rh 0.000 0.042 0.750